Entry 1:
Crystalline CoSbWI2 at its relaxed geometry, computed with PBE.

Computed properties:
DOS at the Fermi energy ... 2.487 states/eV per atom
Excess energy over the best structure of this formula in the dataset ... 0.0000 eV/atom
E ... -20.4 eV/cell
Space-group type ... No. 123

The structure in extended XYZ format:
```
5
Lattice="-0.0511 3.9845 -3.8911 -5.2338 -1.3645 -1.3285 -1.8049 3.4552 3.5618" Properties=species:S:1:pos:R:3 pbc="T T T"
Co -3.5449 3.0376 -0.8289
I -0.0255 1.9923 -1.9455
W 0.0000 0.0000 0.0000
Sb -0.9024 1.7276 1.7809
I -2.6169 -0.6822 -0.6643
```



Entry 2:
Crystalline ZrSc2AlN at its relaxed geometry, computed with PBE.

Computed properties:
DOS at the Fermi energy ... 1.423 states/eV per atom
Excess energy over the best structure of this formula in the dataset ... 1.7220 eV/atom
E ... -29.8 eV/cell
Space-group type ... No. 123

The structure in extended XYZ format:
```
5
Lattice="-1.1060 0.7347 5.3344 -1.4228 -3.8018 0.2286 5.0294 -1.8045 1.2913" Properties=species:S:1:pos:R:3 pbc="T T T"
Sc -0.5530 0.3673 2.6672
Sc 2.5147 -0.9023 0.6457
N -0.7114 -1.9009 0.1143
Al 1.2503 -2.4358 3.4272
Zr 0.0000 0.0000 0.0000
```



Entry 3:
Crystalline KAcH2 at its relaxed geometry, computed with PBE.

Computed properties:
DOS at the Fermi energy ... 0.543 states/eV per atom
Excess energy over the best structure of this formula in the dataset ... 0.2584 eV/atom
E ... -11.7 eV/cell
Space-group type ... No. 123

The structure in extended XYZ format:
```
4
Lattice="-2.6771 0.4771 2.2717 1.7803 -1.8033 2.4767 3.4307 6.9384 2.5859" Properties=species:S:1:pos:R:3 pbc="T T T"
H 0.4442 0.8984 0.3348
K 1.2669 2.8061 3.6672
Ac -0.4484 -0.6631 2.3742
H 2.9865 6.0400 2.2511
```



Entry 4:
Crystalline Dy3YHo2S6 at its relaxed geometry, computed with PBE.

Computed properties:
DOS at the Fermi energy ... 0.402 states/eV per atom
E ... -78.1 eV/cell
Space-group type ... No. 12

The structure in extended XYZ format:
```
12
Lattice="6.7597 -0.0141 -0.0012 -3.3904 5.8480 -0.0012 -1.1250 -1.9480 6.3693" Properties=species:S:1:pos:R:3 pbc="T T T"
S 3.3814 1.9265 4.7801
Dy -2.2707 3.9025 3.1835
S -1.1371 1.9595 1.5869
Ho 3.3744 1.9411 -0.0012
Dy 4.5150 -0.0165 3.1835
S 0.0048 0.0084 4.7852
Y 0.0000 0.0000 0.0000
S 2.2655 -0.0056 1.5869
S -0.0212 3.8916 4.7801
Ho -0.0050 3.8928 -0.0012
Dy 1.1221 1.9430 3.1835
S 2.2395 3.8776 1.5817
```